No. 1
## K3RbHg (GGA-PBEsol)

Data for an optimized crystal structure of K3RbHg.

Cell and atoms, written as CIF:
```
data_K3RbHg
_cell_length_a 6.751
_cell_length_b 6.751
_cell_length_c 6.751
_cell_angle_alpha 90.00
_cell_angle_beta 90.00
_cell_angle_gamma 90.00
_space_group_name_H-M_alt 'P m -3 m'
_space_group_IT_number 221
_space_group_name_Hall '-P 4 2 3'
loop_
_atom_site_label
_atom_site_fract_x
_atom_site_fract_y
_atom_site_fract_z
_atom_site_occupancy
K1 0.000 0.000 0.500 1
Rb1 0.500 0.500 0.500 1
Hg1 0.000 0.000 0.000 1
```

Values from the calculation:
- N(E_F) (states/eV/cell) = 3.48
- DFT formation energy (eV/f.u.) = -0.27
- E (eV/cell) = -5.3


No. 2
## Eu2PdAu (GGA-PBEsol)

Data for an optimized crystal structure of Eu2PdAu.

Cell and atoms, written as CIF:
```
data_Eu2PdAu
_cell_length_a 7.191
_cell_length_b 7.191
_cell_length_c 7.191
_cell_angle_alpha 90.00
_cell_angle_beta 90.00
_cell_angle_gamma 90.00
_space_group_name_H-M_alt 'F m -3 m'
_space_group_IT_number 225
_space_group_name_Hall '-F 4 2 3'
loop_
_atom_site_label
_atom_site_fract_x
_atom_site_fract_y
_atom_site_fract_z
_atom_site_occupancy
Eu1 0.250 0.250 0.250 1
Pd1 0.000 0.000 0.000 1
Au1 0.000 0.000 0.500 1
```

Values from the calculation:
- N(E_F) (states/eV/cell) = 72.28
- DFT formation energy (eV/f.u.) = -2.80
- E (eV/cell) = -135.3


No. 3
## BeCoSe2 (GGA-PBEsol)

Data for an optimized crystal structure of BeCoSe2.

Cell and atoms, written as CIF:
```
data_BeCoSe2
_cell_length_a 3.432
_cell_length_b 3.432
_cell_length_c 5.637
_cell_angle_alpha 90.00
_cell_angle_beta 90.01
_cell_angle_gamma 90.00
_space_group_name_H-M_alt 'P 1 m 1'
_space_group_IT_number 6
_space_group_name_Hall 'P -2y'
loop_
_atom_site_label
_atom_site_fract_x
_atom_site_fract_y
_atom_site_fract_z
_atom_site_occupancy
Be1 0.000 0.000 0.000 1
Co1 0.499 0.500 0.001 1
Se1 0.499 0.000 0.272 1
Se2 0.998 0.500 0.729 1
```

Values from the calculation:
- N(E_F) (states/eV/cell) = 3.36
- formation energy (no corrections) (eV/atom) = -0.304
- E (eV/cell) = -20.7


No. 4
## Cd2Cu (GGA-PBEsol)

Data for an optimized crystal structure of Cd2Cu.

Cell and atoms, written as CIF:
```
data_Cd2Cu
_cell_length_a 4.266
_cell_length_b 12.544
_cell_length_c 3.813
_cell_angle_alpha 90.00
_cell_angle_beta 90.00
_cell_angle_gamma 90.00
_space_group_name_H-M_alt 'C m m m'
_space_group_IT_number 65
_space_group_name_Hall '-C 2 2'
loop_
_atom_site_label
_atom_site_fract_x
_atom_site_fract_y
_atom_site_fract_z
_atom_site_occupancy
Cd1 0.000 0.000 0.000 1
Cd2 0.000 0.175 0.500 1
Cd3 0.000 0.500 0.500 1
Cu1 0.000 0.333 0.000 1
```

Values from the calculation:
- N(E_F) (states/eV/cell) = 2.61
- DFT formation energy (eV/f.u.) = 0.25
- E (eV/cell) = -25.9


No. 5
## OsRu (GGA-PBEsol)

Data for an optimized crystal structure of OsRu.

Cell and atoms, written as CIF:
```
data_OsRu
_cell_length_a 2.7086
_cell_length_b 2.7086
_cell_length_c 8.5749
_cell_angle_alpha 90.00
_cell_angle_beta 90.00
_cell_angle_gamma 120.00
_space_group_name_H-M_alt 'P -3 m 1'
_space_group_IT_number 164
_space_group_name_Hall '-P 3 2"'
loop_
_atom_site_label
_atom_site_fract_x
_atom_site_fract_y
_atom_site_fract_z
_atom_site_occupancy
Os1 0.3333 0.6667 0.1257 1
Ru1 0.3333 0.6667 0.6244 1
```

Values from the calculation:
- N(E_F) (states/eV/cell) = 2.35
- DFT formation energy (eV/f.u.) = 0.00
- E (eV/cell) = -44.8


No. 6
## InHOs3 (GGA-PBEsol)

Data for an optimized crystal structure of InHOs3.

Cell and atoms, written as CIF:
```
data_InHOs3
_cell_length_a 4.848
_cell_length_b 4.848
_cell_length_c 4.848
_cell_angle_alpha 90.00
_cell_angle_beta 90.00
_cell_angle_gamma 90.00
_space_group_name_H-M_alt 'P m -3 m'
_space_group_IT_number 221
_space_group_name_Hall '-P 4 2 3'
loop_
_atom_site_label
_atom_site_fract_x
_atom_site_fract_y
_atom_site_fract_z
_atom_site_occupancy
In1 0.000 0.000 0.000 1
H1 0.500 0.500 0.500 1
Os1 0.000 0.000 0.500 1
```

Values from the calculation:
- N(E_F) (states/eV/cell) = 6.96
- E (eV/cell) = -23.9


No. 7
## MnFe3 (GGA-PBEsol)

Data for an optimized crystal structure of MnFe3.

Cell and atoms, written as CIF:
```
data_MnFe3
_cell_length_a 2.435
_cell_length_b 7.694
_cell_length_c 4.215
_cell_angle_alpha 90.00
_cell_angle_beta 90.00
_cell_angle_gamma 90.00
_space_group_name_H-M_alt 'I m m 2'
_space_group_IT_number 44
_space_group_name_Hall 'I 2 -2'
loop_
_atom_site_label
_atom_site_fract_x
_atom_site_fract_y
_atom_site_fract_z
_atom_site_occupancy
Mn1 0.000 0.000 0.000 1
Fe1 0.000 0.250 0.666 1
Fe2 0.000 0.500 0.000 1
```

Values from the calculation:
- N(E_F) (states/eV/cell) = 9.40
- DFT formation energy (eV/f.u.) = -0.07
- E (eV/cell) = -73.4


No. 8
## OsRuRh (GGA-PBEsol)

Data for an optimized crystal structure of OsRuRh.

Cell and atoms, written as CIF:
```
data_OsRuRh
_cell_length_a 5.782
_cell_length_b 5.782
_cell_length_c 5.782
_cell_angle_alpha 90.00
_cell_angle_beta 90.00
_cell_angle_gamma 90.00
_space_group_name_H-M_alt 'F -4 3 m'
_space_group_IT_number 216
_space_group_name_Hall 'F -4 2 3'
loop_
_atom_site_label
_atom_site_fract_x
_atom_site_fract_y
_atom_site_fract_z
_atom_site_occupancy
Os1 0.000 0.000 0.000 1
Ru1 0.250 0.250 0.250 1
Rh1 0.000 0.000 0.500 1
```

Values from the calculation:
- N(E_F) (states/eV/cell) = 22.34
- DFT formation energy (eV/f.u.) = 2.59
- E (eV/cell) = -111.7


No. 9
## YHfS2 (GGA-PBEsol)

Data for an optimized crystal structure of YHfS2.

Cell and atoms, written as CIF:
```
data_YHfS2
_cell_length_a 3.5569
_cell_length_b 3.5569
_cell_length_c 25.0549
_cell_angle_alpha 90.00
_cell_angle_beta 90.00
_cell_angle_gamma 120.00
_space_group_name_H-M_alt 'R -3 m'
_space_group_IT_number 166
_space_group_name_Hall '-R 3 2"'
loop_
_atom_site_label
_atom_site_fract_x
_atom_site_fract_y
_atom_site_fract_z
_atom_site_occupancy
Y1 0.0000 0.0000 0.0000 1
Hf1 0.0000 0.0000 0.5000 1
S1 0.0000 0.0000 0.1067 1
```

Values from the calculation:
- N(E_F) (states/eV/cell) = 6.44
- formation energy (no corrections) (eV/atom) = -1.299
- E (eV/cell) = -93.9


No. 10
## AuSeCl (GGA-PBEsol)

Data for an optimized crystal structure of AuSeCl.

Cell and atoms, written as CIF:
```
data_AuSeCl
_cell_length_a 6.401
_cell_length_b 6.401
_cell_length_c 6.401
_cell_angle_alpha 90.00
_cell_angle_beta 90.00
_cell_angle_gamma 90.00
_space_group_name_H-M_alt 'F -4 3 m'
_space_group_IT_number 216
_space_group_name_Hall 'F -4 2 3'
loop_
_atom_site_label
_atom_site_fract_x
_atom_site_fract_y
_atom_site_fract_z
_atom_site_occupancy
Au1 0.000 0.000 0.000 1
Se1 0.250 0.250 0.750 1
Cl1 0.250 0.250 0.250 1
```

Values from the calculation:
- N(E_F) (states/eV/cell) = 14.72
- formation energy (no corrections) (eV/atom) = 0.427
- E (eV/cell) = -34.0


No. 11
## MnRhN3 (GGA-PBEsol)

Data for an optimized crystal structure of MnRhN3.

Cell and atoms, written as CIF:
```
data_MnRhN3
_cell_length_a 3.610
_cell_length_b 3.610
_cell_length_c 3.610
_cell_angle_alpha 90.00
_cell_angle_beta 90.00
_cell_angle_gamma 90.00
_space_group_name_H-M_alt 'P m -3 m'
_space_group_IT_number 221
_space_group_name_Hall '-P 4 2 3'
loop_
_atom_site_label
_atom_site_fract_x
_atom_site_fract_y
_atom_site_fract_z
_atom_site_occupancy
Mn1 0.000 0.000 0.000 1
Rh1 0.500 0.500 0.500 1
N1 0.000 0.000 0.500 1
```

Values from the calculation:
- N(E_F) (states/eV/cell) = 3.70
- formation energy (no corrections) (eV/atom) = 0.997
- E (eV/cell) = -38.5


No. 12
## SrP2W2 (GGA-PBEsol)

Data for an optimized crystal structure of SrP2W2.

Cell and atoms, written as CIF:
```
data_SrP2W2
_cell_length_a 4.590
_cell_length_b 4.590
_cell_length_c 8.874
_cell_angle_alpha 90.00
_cell_angle_beta 90.00
_cell_angle_gamma 90.00
_space_group_name_H-M_alt 'I 4/m m m'
_space_group_IT_number 139
_space_group_name_Hall '-I 4 2'
loop_
_atom_site_label
_atom_site_fract_x
_atom_site_fract_y
_atom_site_fract_z
_atom_site_occupancy
Sr1 0.000 0.000 0.000 1
P1 0.000 0.500 0.250 1
W1 0.000 0.000 0.367 1
```

Values from the calculation:
- N(E_F) (states/eV/cell) = 7.45
- DFT formation energy (eV/f.u.) = -0.74
- E (eV/cell) = -83.6